GGA-PBE Sc2GaSb, relaxed; ρ = 5095 kg/m3; energy relative to the elements, uncorrected = -0.7422 eV per atom; energy above the most stable polymorph in this dataset = 0.0000 eV per atom; D(E_F) = 0.517 states/eV per atom; symmetry = Cmcm, No. 63
1.0
-2.327 -3.230 0.670
-0.343 -0.601 -4.090
9.077 -6.074 2.236
Sc Ga Sb
4 2 2
Cartesian
5.932 -8.342 -1.374
0.475 -1.564 0.190
5.214 -4.956 0.292
1.193 -4.949 -1.476
7.641 -6.694 0.343
-1.234 -3.212 -1.528
3.607 -6.677 -1.424
2.800 -3.228 0.240